This record from Alexandria via LeMat-Bulk describes a geometry-optimized NaSn4GeSe8 structure. The functional is PBE.

Properties
Magnetization, μB/cell: 0.0
Density of states at the Fermi level, states/eV/atom: 0.4056
Formation energy without anion corrections, eV per atom: -0.385

Lattice parameters (Å, degrees): 8.3408 8.3408 20.6760 90.00 90.00 120.00
Space group R3m (No. 160, hexagonal axes)
Unique sites:
Na 0.0000 0.0000 0.0000
Sn 0.0000 0.0000 0.2436
Sn 0.1736 0.3472 0.4544
Ge 0.0000 0.0000 0.6340
Se 0.0000 0.0000 0.3761
Se 0.0000 0.0000 0.8630
Se 0.0342 0.5171 0.3759
Se 0.1712 0.3424 0.2002

This record from Alexandria via LeMat-Bulk describes a geometry-optimized Sb2H6Os structure. The functional is PBE.

Properties
Electronic total energy, eV per atom: -4.1410
Magnetization, μB/cell: 0.0
Density of states at the Fermi level, states/eV/atom: 0.2586

Lattice parameters (Å, degrees): 8.8600 4.2156 7.4703 90.00 124.89 90.00
Space group C2/m (No. 12)
Unique sites:
Sb 0.0740 0.0000 0.2815
H 0.0911 0.5000 0.8508
H 0.1979 0.2840 0.1785
Os 0.0000 0.5000 0.0000

This record from Alexandria via LeMat-Bulk describes a geometry-optimized PmHgAsO5 structure. The functional is PBE.

Properties
Magnetization, μB/cell: 0.1
Density of states at the Fermi level, states/eV/atom: 0.0000
Formation energy without anion corrections, eV per atom: -1.748

Lattice parameters (Å, degrees): 8.3790 9.1774 8.5708 90.00 118.82 90.00
Space group C2/c (No. 15)
Unique sites:
Pm 0.0000 0.0000 0.0000
Hg 0.0000 0.3192 0.2500
As 0.0000 0.3456 0.7500
O 0.0000 0.0962 0.2500
O 0.0357 0.2404 0.6058
O 0.1757 0.4706 0.8617

This record from Alexandria via LeMat-Bulk describes a geometry-optimized Er2Ga4Ni3Pt structure. The functional is PBE.

Properties
Magnetization, μB/cell: 0.0
Density of states at the Fermi level, states/eV/atom: 0.4242
Calculated formation energy, eV/atom: -0.673

Lattice parameters (Å, degrees): 3.9662 3.9662 10.5859 90.00 90.00 90.00
Space group P-4m2 (No. 115)
Unique sites:
Er 0.0000 0.5000 0.2380
Ga 0.0000 0.0000 0.0000
Ga 0.0000 0.5000 0.6419
Ga 0.5000 0.5000 0.0000
Ni 0.0000 0.5000 0.8643
Ni 0.5000 0.5000 0.5000
Pt 0.0000 0.0000 0.5000

This record from Alexandria via LeMat-Bulk describes a geometry-optimized GaTc2Os structure. The functional is PBE.

Properties
Magnetization, μB/cell: 0.0
Density of states at the Fermi level, states/eV/atom: 0.9668
Calculated formation energy, eV/atom: 0.245

Lattice parameters (Å, degrees): 2.7628 2.7628 28.2311 90.00 90.00 120.00
Space group R-3m (No. 166, hexagonal axes)
Unique sites:
Ga 0.0000 0.0000 0.0000
Tc 0.0000 0.0000 0.0900
Os 0.0000 0.0000 0.5000

This record from Alexandria via LeMat-Bulk describes a geometry-optimized Pr6PC2Br3 structure. The functional is PBE.

Properties
Magnetization, μB/cell: 0.0
Density of states at the Fermi level, states/eV/atom: 0.3827
Formation energy without anion corrections, eV per atom: -1.077

Lattice parameters (Å, degrees): 18.8892 3.9528 8.8158 90.00 110.77 90.00
Space group C2/m (No. 12)
Unique sites:
Pr 0.0247 0.0000 0.2412
Pr 0.1644 0.5000 0.1376
Pr 0.1828 0.5000 0.5487
P 0.0000 0.5000 0.0000
C 0.1695 0.0000 0.3347
Br 0.0000 0.5000 0.5000
Br 0.1639 0.0000 0.8292

This record from Alexandria via LeMat-Bulk describes a geometry-optimized K3CeAs2O8 structure. The functional is PBE.

Properties
Magnetization, μB/cell: 1.0
Energy above the most stable polymorph in this dataset, eV per atom: 0.012
Density of states at the Fermi level, states/eV/atom: 0.2726
Formation energy without anion corrections, eV per atom: -1.967

Lattice parameters (Å, degrees): 6.0608 6.0608 7.7951 90.00 90.00 120.00
Space group P-3m1 (No. 164)
Unique sites:
K 0.0000 0.0000 0.0000
K 0.3333 0.6667 0.6951
Ce 0.0000 0.0000 0.5000
As 0.3333 0.6667 0.2343
O 0.1801 0.3601 0.3202
O 0.3333 0.6667 0.0193

This record from Alexandria via LeMat-Bulk describes a geometry-optimized IrCN3 structure. The functional is PBE.

Properties
Magnetization, μB/cell: 0.2
Density of states at the Fermi level, states/eV/atom: 0.7188
Formation energy without anion corrections, eV per atom: 2.759

Lattice parameters (Å, degrees): 3.8161 3.8161 3.8161 90.00 90.00 90.00
Space group Pm-3m (No. 221)
Unique sites:
Ir 0.0000 0.0000 0.0000
C 0.5000 0.5000 0.5000
N 0.0000 0.0000 0.5000

> Which formula does entry 1 have?

NaSn4GeSe8

Please write out number 6 again, unchanged.
This record from Alexandria via LeMat-Bulk describes a geometry-optimized Pr6PC2Br3 structure. The functional is PBE.

Properties
Magnetization, μB/cell: 0.0
Density of states at the Fermi level, states/eV/atom: 0.3827
Formation energy without anion corrections, eV per atom: -1.077

Lattice parameters (Å, degrees): 18.8892 3.9528 8.8158 90.00 110.77 90.00
Space group C2/m (No. 12)
Unique sites:
Pr 0.0247 0.0000 0.2412
Pr 0.1644 0.5000 0.1376
Pr 0.1828 0.5000 0.5487
P 0.0000 0.5000 0.0000
C 0.1695 0.0000 0.3347
Br 0.0000 0.5000 0.5000
Br 0.1639 0.0000 0.8292